(1)
VASP calculation (GGA-PBE) on a geometry-optimized TaCuSb2 structure.

Structure (CIF):
```
data_TaCuSb2
_chemical_formula_sum 'Ta3 Cu3 Sb6'
_cell_length_a 3.3467
_cell_length_b 3.3467
_cell_length_c 24.8500
_cell_angle_alpha 90.00
_cell_angle_beta 90.00
_cell_angle_gamma 120.00
_symmetry_space_group_name_H-M 'R -3 m'
_symmetry_Int_Tables_number 166
_symmetry_space_group_name_Hall '-R 3 2"'
loop_
_atom_site_label
_atom_site_fract_x
_atom_site_fract_y
_atom_site_fract_z
Ta1 0.0000 0.0000 0.0000
Cu1 0.0000 0.0000 0.5000
Sb1 0.0000 0.0000 0.2465
```

Computed properties:
excess energy over the best structure of this formula in the dataset	0.157	eV/atom
ΔE_f (raw)	0.18	eV per atom

=====

(2)
VASP calculation (GGA-PBE) on a geometry-optimized TaCuSb2 structure.

Structure (CIF):
```
data_TaCuSb2
_chemical_formula_sum 'Ta1 Cu1 Sb2'
_cell_length_a 4.721
_cell_length_b 4.721
_cell_length_c 3.510
_cell_angle_alpha 90.00
_cell_angle_beta 90.00
_cell_angle_gamma 90.00
_symmetry_space_group_name_H-M 'P 4/m m m'
_symmetry_Int_Tables_number 123
_symmetry_space_group_name_Hall '-P 4 2'
loop_
_atom_site_label
_atom_site_fract_x
_atom_site_fract_y
_atom_site_fract_z
Ta1 0.000 0.000 0.000
Cu1 0.500 0.500 0.000
Sb1 0.000 0.500 0.500
```

Computed properties:
excess energy over the best structure of this formula in the dataset	0.272	eV/atom
ΔE_f (raw)	0.30	eV per atom

=====

(3)
VASP calculation (GGA-PBE) on a geometry-optimized TaCuSb2 structure.

Structure (CIF):
```
data_TaCuSb2
_chemical_formula_sum 'Ta1 Cu1 Sb2'
_cell_length_a 3.107
_cell_length_b 3.107
_cell_length_c 9.075
_cell_angle_alpha 90.00
_cell_angle_beta 90.00
_cell_angle_gamma 90.00
_symmetry_space_group_name_H-M 'P 4 m m'
_symmetry_Int_Tables_number 99
loop_
_symmetry_equiv_pos_as_xyz
'x,y,z'
'-y,x,z'
'-x,-y,z'
'y,-x,z'
'-x,y,z'
'y,x,z'
'x,-y,z'
'-y,-x,z'
loop_
_atom_site_label
_atom_site_fract_x
_atom_site_fract_y
_atom_site_fract_z
Ta1 0.000 0.000 0.000
Cu1 0.500 0.500 0.179
Sb1 0.000 0.000 0.372
Sb2 0.500 0.500 0.763
```

Computed properties:
excess energy over the best structure of this formula in the dataset	0.132	eV/atom
ΔE_f (raw)	0.16	eV per atom

=====

(4)
VASP calculation (GGA-PBE) on a geometry-optimized TaCuSb4 structure.

Structure (CIF):
```
data_TaCuSb4
_chemical_formula_sum 'Ta4 Cu4 Sb16'
_cell_length_a 8.466
_cell_length_b 8.466
_cell_length_c 8.466
_cell_angle_alpha 90.00
_cell_angle_beta 90.00
_cell_angle_gamma 90.00
_symmetry_space_group_name_H-M 'F -4 3 m'
_symmetry_Int_Tables_number 216
_symmetry_space_group_name_Hall 'F -4 2 3'
loop_
_atom_site_label
_atom_site_fract_x
_atom_site_fract_y
_atom_site_fract_z
Ta1 0.000 0.000 0.000
Cu1 0.250 0.250 0.750
Sb1 0.125 0.125 0.375
```

Computed properties:
ΔE_f (raw)	1.04	eV per atom

=====

(5)
VASP calculation (GGA-PBE) on a geometry-optimized TaCuSb2 structure.

Structure (CIF):
```
data_TaCuSb2
_chemical_formula_sum 'Ta2 Cu2 Sb4'
_cell_length_a 4.437
_cell_length_b 4.437
_cell_length_c 8.043
_cell_angle_alpha 90.00
_cell_angle_beta 90.00
_cell_angle_gamma 90.00
_symmetry_space_group_name_H-M 'I 4/m m m'
_symmetry_Int_Tables_number 139
_symmetry_space_group_name_Hall '-I 4 2'
loop_
_atom_site_label
_atom_site_fract_x
_atom_site_fract_y
_atom_site_fract_z
Ta1 0.000 0.000 0.000
Cu1 0.000 0.000 0.500
Sb1 0.000 0.500 0.250
```

Computed properties:
excess energy over the best structure of this formula in the dataset	0.339	eV/atom
ΔE_f (raw)	0.37	eV per atom

=====

(6)
VASP calculation (GGA-PBE) on a geometry-optimized Ta2Cu2Sb structure.

Structure (CIF):
```
data_Ta2Cu2Sb
_chemical_formula_sum 'Ta4 Cu4 Sb2'
_cell_length_a 6.496
_cell_length_b 6.496
_cell_length_c 3.880
_cell_angle_alpha 90.00
_cell_angle_beta 90.00
_cell_angle_gamma 90.00
_symmetry_space_group_name_H-M 'P 4/m b m'
_symmetry_Int_Tables_number 127
_symmetry_space_group_name_Hall '-P 4 2ab'
loop_
_atom_site_label
_atom_site_fract_x
_atom_site_fract_y
_atom_site_fract_z
Ta1 0.168 0.332 0.000
Cu1 0.126 0.626 0.500
Sb1 0.000 0.000 0.500
```

Computed properties:
ΔE_f (raw)	0.22	eV per atom

=====

(7)
VASP calculation (GGA-PBE) on a geometry-optimized TaCuSb2 structure.

Structure (CIF):
```
data_TaCuSb2
_chemical_formula_sum 'Ta2 Cu2 Sb4'
_cell_length_a 3.832
_cell_length_b 5.063
_cell_length_c 8.409
_cell_angle_alpha 90.00
_cell_angle_beta 90.00
_cell_angle_gamma 90.00
_symmetry_space_group_name_H-M 'C m m m'
_symmetry_Int_Tables_number 65
_symmetry_space_group_name_Hall '-C 2 2'
loop_
_atom_site_label
_atom_site_fract_x
_atom_site_fract_y
_atom_site_fract_z
Ta1 0.000 0.000 0.000
Cu1 0.000 0.000 0.500
Sb1 0.000 0.500 0.256
```

Computed properties:
excess energy over the best structure of this formula in the dataset	0.321	eV/atom
ΔE_f (raw)	0.35	eV per atom

=====

(8)
VASP calculation (GGA-PBE) on a geometry-optimized TaCuSb2 structure.

Structure (CIF):
```
data_TaCuSb2
_chemical_formula_sum 'Ta2 Cu2 Sb4'
_cell_length_a 4.034
_cell_length_b 4.034
_cell_length_c 9.787
_cell_angle_alpha 90.00
_cell_angle_beta 90.00
_cell_angle_gamma 90.00
_symmetry_space_group_name_H-M 'I -4 m 2'
_symmetry_Int_Tables_number 119
_symmetry_space_group_name_Hall 'I -4 -2'
loop_
_atom_site_label
_atom_site_fract_x
_atom_site_fract_y
_atom_site_fract_z
Ta1 0.000 0.000 0.000
Cu1 0.000 0.500 0.750
Sb1 0.000 0.000 0.500
Sb2 0.000 0.500 0.250
```

Computed properties:
excess energy over the best structure of this formula in the dataset	0.339	eV/atom
ΔE_f (raw)	0.37	eV per atom

=====

(9)
VASP calculation (GGA-PBE) on a geometry-optimized Ta3CuSb structure.

Structure (CIF):
```
data_Ta3CuSb
_chemical_formula_sum 'Ta3 Cu1 Sb1'
_cell_length_a 4.672
_cell_length_b 4.672
_cell_length_c 4.672
_cell_angle_alpha 90.00
_cell_angle_beta 90.00
_cell_angle_gamma 90.00
_symmetry_space_group_name_H-M 'P m -3 m'
_symmetry_Int_Tables_number 221
_symmetry_space_group_name_Hall '-P 4 2 3'
loop_
_atom_site_label
_atom_site_fract_x
_atom_site_fract_y
_atom_site_fract_z
Ta1 0.000 0.000 0.500
Cu1 0.000 0.000 0.000
Sb1 0.500 0.500 0.500
```

Computed properties:
excess energy over the best structure of this formula in the dataset	0.000	eV/atom
ΔE_f (raw)	1.02	eV per atom

=====

(10)
VASP calculation (GGA-PBE) on a geometry-optimized TaCuSb2 structure.

Structure (CIF):
```
data_TaCuSb2
_chemical_formula_sum 'Ta4 Cu4 Sb8'
_cell_length_a 6.901
_cell_length_b 6.901
_cell_length_c 6.901
_cell_angle_alpha 90.00
_cell_angle_beta 90.00
_cell_angle_gamma 90.00
_symmetry_space_group_name_H-M 'F -4 3 m'
_symmetry_Int_Tables_number 216
_symmetry_space_group_name_Hall 'F -4 2 3'
loop_
_atom_site_label
_atom_site_fract_x
_atom_site_fract_y
_atom_site_fract_z
Ta1 0.000 0.000 0.000
Cu1 0.250 0.250 0.750
Sb1 0.000 0.000 0.500
Sb2 0.250 0.250 0.250
```

Computed properties:
excess energy over the best structure of this formula in the dataset	0.627	eV/atom
ΔE_f (raw)	0.65	eV per atom

=====

(11)
VASP calculation (GGA-PBE) on a geometry-optimized TaCu3Sb structure.

Structure (CIF):
```
data_TaCu3Sb
_chemical_formula_sum 'Ta1 Cu3 Sb1'
_cell_length_a 4.785
_cell_length_b 4.785
_cell_length_c 4.785
_cell_angle_alpha 90.00
_cell_angle_beta 90.00
_cell_angle_gamma 90.00
_symmetry_space_group_name_H-M 'P m -3 m'
_symmetry_Int_Tables_number 221
_symmetry_space_group_name_Hall '-P 4 2 3'
loop_
_atom_site_label
_atom_site_fract_x
_atom_site_fract_y
_atom_site_fract_z
Ta1 0.000 0.000 0.000
Cu1 0.000 0.000 0.500
Sb1 0.500 0.500 0.500
```

Computed properties:
excess energy over the best structure of this formula in the dataset	0.000	eV/atom
ΔE_f (raw)	1.33	eV per atom

=====

(12)
VASP calculation (GGA-PBE) on a geometry-optimized TaCuSbTe2 structure.

Structure (CIF):
```
data_TaCuSbTe2
_chemical_formula_sum 'Ta1 Cu1 Sb1 Te2'
_cell_length_a 5.032
_cell_length_b 5.032
_cell_length_c 4.936
_cell_angle_alpha 90.00
_cell_angle_beta 90.00
_cell_angle_gamma 90.00
_symmetry_space_group_name_H-M 'P 4/m m m'
_symmetry_Int_Tables_number 123
_symmetry_space_group_name_Hall '-P 4 2'
loop_
_atom_site_label
_atom_site_fract_x
_atom_site_fract_y
_atom_site_fract_z
Ta1 0.000 0.000 0.000
Cu1 0.500 0.500 0.500
Sb1 0.500 0.500 0.000
Te1 0.000 0.500 0.500
```

Computed properties:
excess energy over the best structure of this formula in the dataset	0.356	eV/atom
ΔE_f (raw)	1.01	eV per atom

=====

(13)
VASP calculation (GGA-PBE) on a geometry-optimized TaCuSbTe2 structure.

Structure (CIF):
```
data_TaCuSbTe2
_chemical_formula_sum 'Ta1 Cu1 Sb1 Te2'
_cell_length_a 5.351
_cell_length_b 5.351
_cell_length_c 5.439
_cell_angle_alpha 90.00
_cell_angle_beta 90.00
_cell_angle_gamma 90.00
_symmetry_space_group_name_H-M 'P 4/m m m'
_symmetry_Int_Tables_number 123
_symmetry_space_group_name_Hall '-P 4 2'
loop_
_atom_site_label
_atom_site_fract_x
_atom_site_fract_y
_atom_site_fract_z
Ta1 0.000 0.000 0.000
Cu1 0.500 0.500 0.500
Sb1 0.000 0.000 0.500
Te1 0.000 0.500 0.000
```

Computed properties:
excess energy over the best structure of this formula in the dataset	0.000	eV/atom
ΔE_f (raw)	0.66	eV per atom

=====

Number 1: VASP energy -5.86 eV per atom. Number 2: VASP energy -5.75 eV per atom. Number 3: VASP energy -5.89 eV per atom. Number 4: VASP energy -4.37 eV per atom. Number 5: VASP energy -5.68 eV per atom. Number 6: VASP energy -6.98 eV per atom. Number 7: VASP energy -5.70 eV per atom. Number 8: VASP energy -5.68 eV per atom. Number 9: VASP energy -7.74 eV per atom. Number 10: VASP energy -5.39 eV per atom. Number 11: VASP energy -4.32 eV per atom. Number 12: VASP energy -4.26 eV per atom. Number 13: VASP energy -4.61 eV per atom.